Compound: Ce2GaCu5
Source: Alexandria
Functional: PBE
Structure: relaxed

Computed properties:
**Crystal system**: orthorhombic
**ΔE_f**: -0.192 eV/atom
**Calculated volume**: 572 Å³ per cell

```
data_Ce2GaCu5
_chemical_formula_sum 'Ce8 Ga4 Cu20'
_cell_length_a 4.230
_cell_length_b 15.311
_cell_length_c 8.837
_cell_angle_alpha 90.00
_cell_angle_beta 90.00
_cell_angle_gamma 90.00
_symmetry_space_group_name_H-M 'C m c m'
_symmetry_Int_Tables_number 63
_symmetry_space_group_name_Hall '-C 2c 2'
loop_
_atom_site_label
_atom_site_type_symbol
_atom_site_fract_x
_atom_site_fract_y
_atom_site_fract_z
_atom_site_occupancy
Ce1 Ce 0.000 0.000 0.000 1
Ce2 Ce 0.000 0.208 0.250 1
Ga1 Ga 0.000 0.440 0.750 1
Cu1 Cu 0.000 0.178 0.613 1
Cu2 Cu 0.000 0.343 0.520 1
Cu3 Cu 0.000 0.400 0.250 1
```